# 1
## KSrCrO4 (GGA+U)

Data for a relaxed structure of KSrCrO4.

```
KSrCrO4
1.0
6.0904 0.0000 0.0000
0.0000 5.9452 0.0000
-1.8722 0.0000 7.1437
K Sr Cr O
2 2 2 8
Cartesian
0.4896 1.4863 3.0401
3.7286 4.4589 4.1037
-0.0261 1.4863 6.7488
4.2444 4.4589 0.3949
1.1830 4.4589 1.2674
3.0353 1.4863 5.8763
-0.1450 4.4589 2.3543
-1.2135 4.4589 6.7830
2.2504 3.0943 1.4673
2.2504 5.8235 1.4673
1.9678 0.1217 5.6764
1.9678 2.8509 5.6764
5.4317 1.4863 0.3607
4.3632 1.4863 4.7894
```

- calculated total energy (eV/atom) = -6.295
- total magnetic moment (μB per atom) = 0.143
- space group = P2_1/m (11)
- calculated density (Mg/m³) = 3.1


# 2
## KSrCr2O8 (GGA+U)

Data for a relaxed structure of KSrCr2O8.

```
KSrCr2O8
1.0
5.8922 0.0000 0.0000
-2.9461 5.1028 0.0000
0.0000 0.0000 8.0230
K Sr Cr O
1 1 2 8
Cartesian
0.0000 0.0000 0.0000
0.0000 0.0000 4.0115
0.0000 3.4019 6.2650
2.9461 1.7009 1.7579
-0.0099 1.8260 5.7056
-1.3598 4.1984 5.7056
0.0000 3.4019 7.9025
1.5764 0.9216 2.3173
1.3697 4.1812 5.7056
2.9461 1.7009 0.1205
4.3059 0.9044 2.3173
2.9560 3.2768 2.3173
```

- calculated total energy (eV/atom) = -6.360
- total magnetic moment (μB per atom) = 0.091
- space group = P-3 (147)
- calculated density (Mg/m³) = 2.5